Here is a geometry-optimized KGa3Br structure from Alexandria. Energies are from PBE.

Calculated values
For the total energy, the calculation gives -0.1617 Ry/atom. The value obtained for the energy relative to the lowest polymorph listed for this composition is 0.0 meV per atom. For the uncorrected formation energy, the calculation gives 170 meV per atom.

Cell lengths 5.7241, 5.7241, 5.7241 Å; angles 90.00, 90.00, 90.00 degrees
Element x y z (fractional)
K 0.0000 0.0000 0.0000
Ga 0.0000 0.5000 0.5000
Ga 0.5000 0.0000 0.5000
Ga 0.5000 0.5000 0.0000
Br 0.5000 0.5000 0.5000

***

Here is a geometry-optimized BaLiTlAs structure from Alexandria. Energies are from PBE.

Calculated values
For the total energy, the calculation gives -0.2457 Ry/atom. The energy of formation comes out at -0.629 eV per atom.

Cell lengths 4.4886, 4.4886, 12.0827 Å; angles 90.00, 90.00, 90.00 degrees
Element x y z (fractional)
Ba 0.2500 0.2500 0.2114
Ba 0.7500 0.7500 0.7886
Li 0.2500 0.7500 0.0000
Li 0.7500 0.2500 0.0000
Tl 0.2500 0.7500 0.5000
Tl 0.7500 0.2500 0.5000
As 0.2500 0.2500 0.8788
As 0.7500 0.7500 0.1212